1.
VASP calculation (PBE) on a relaxed structure of CeTm6Se8.

```
CeTm6Se8
1.0
-2.1685 6.8609 -3.5745
-5.1860 4.9528 3.6231
2.5430 7.0352 2.9311
Ce Tm Se
1 6 8
Cartesian
0.0000 0.0000 0.0000
-1.3215 5.9940 3.2771
-1.0842 3.4305 -1.7873
-3.6772 5.9069 0.0243
1.2715 3.5176 1.4656
-2.5930 2.4764 1.8115
0.1873 6.9480 -0.3217
-3.6086 14.1367 2.2347
-1.2029 4.7122 0.7449
-2.2927 8.2028 -0.9236
-2.5188 10.6461 3.9033
-0.0474 8.2858 2.1767
-4.7641 10.5631 0.8030
-1.0808 11.5554 0.4732
-3.7307 7.2935 2.5064
```

- E_form (uncorrected): -1.75 eV per atom
- Final energy: -5.789 eV/atom
- Total moment: 1.37 μB/f.u.


2.
VASP calculation (PBE) on a relaxed structure of NaGaTe2.

```
NaGaTe2
1.0
7.5642 0.0000 0.0000
0.0000 10.1597 0.0000
0.0000 0.0000 7.4038
Na Te Ga
4 8 4
Cartesian
0.6128 8.9926 0.1222
6.9514 1.1672 3.8241
3.1693 3.9127 3.8241
4.3949 6.2470 0.1222
3.5660 9.1123 1.0320
3.9982 1.0474 4.7339
0.2161 4.0325 4.7339
7.3481 6.1273 1.0320
0.7622 8.5845 4.4267
6.8020 1.5753 0.7247
3.0199 3.5046 0.7247
4.5443 6.6552 4.4267
0.4727 3.7958 7.3744
7.0916 6.3640 3.6724
3.3095 8.8756 3.6724
4.2548 1.2841 7.3744
```

- E_form (uncorrected): -0.58 eV per atom
- Final energy: -3.240 eV/atom
- Total moment: 0.00 μB/f.u.


3.
VASP calculation (PBE) on a relaxed structure of Pu2ThTl3.

```
Pu2ThTl3
1.0
-1.4050 2.2144 -2.1688
1.5161 -1.5860 -2.6014
-11.3970 -8.6010 -1.3986
Pu Th Tl
2 1 3
Cartesian
-9.4627 -6.8689 -3.5532
-1.8232 -1.1036 -2.6157
-5.6429 -3.9863 -3.0845
0.0000 0.0000 0.0000
-7.6496 -5.7729 -0.9388
-3.7474 -2.8281 -0.4599
```

- Final energy: -7.254 eV/atom
- Total moment: 11.63 μB/f.u.
- E_form: -33 kJ/mol of formula units


4.
VASP calculation (PBE) on a relaxed structure of Cu2OsAu.

```
Cu2OsAu
1.0
-5.1331 -0.5307 4.5635
0.9355 -6.8201 0.2592
-0.3656 -3.3622 4.3973
Os Au Cu
2 2 4
Cartesian
-2.0988 -3.6754 2.4113
-0.7645 -6.9288 3.5339
0.0000 0.0000 0.0000
-3.7988 -3.7841 5.6860
-3.1363 -2.0199 3.9427
-0.1947 -5.1742 1.8730
-1.8399 -5.3397 5.1088
-3.9556 -8.8919 7.5154
```

- Final energy: -4.800 eV/atom
- Total moment: 1.50 μB/f.u.
- E_form: 338 kJ/mol of formula units


5.
VASP calculation (PBE) on a relaxed structure of Ho8Er2Sc.

```
Ho8Er2Sc
1.0
-1.9309 -5.8504 2.2065
5.8765 -5.0884 6.1798
1.1257 -2.2259 9.6122
Ho Er Sc
8 2 1
Cartesian
0.2769 -6.8895 9.1172
2.5038 -4.8950 10.5362
0.1066 -6.6766 5.7158
4.9646 -6.4880 12.2827
2.5675 -8.2697 7.4623
4.7944 -6.2751 8.8813
2.3252 -4.5877 7.0444
2.7461 -8.5769 10.9541
0.5194 -3.8891 3.9624
4.5519 -9.2755 14.0361
0.0000 0.0000 0.0000
```

- Final energy: -4.550 eV/atom
- Total moment: 0.00 μB/f.u.
- E_form: 196 kJ/mol of formula units


6.
VASP calculation (PBE) on a relaxed structure of YTlZn.

```
YTlZn
1.0
4.4598 -1.7850 -1.1948
0.4908 -4.7396 -1.3412
1.0276 -1.1473 -4.7043
Y Tl Zn
1 1 1
Cartesian
2.9891 -3.8360 -3.6202
1.4945 -1.9180 -1.8101
4.4836 -5.7540 -5.4302
```

- Final energy: -3.243 eV/atom
- Total moment: 0.00 μB/f.u.
- E_form: 36 kJ/mol of formula units


7.
VASP calculation (PBE) on a relaxed structure of LiI.

```
LiI
1.0
-7.1253 -2.8780 -2.0380
2.6198 -7.3954 1.2845
-2.3608 0.4796 7.5764
Li I
6 6
Cartesian
-0.4714 -4.4172 0.1327
-4.0340 -5.8562 -0.8863
-4.1528 -1.3191 0.8751
-5.3332 -1.0793 4.6633
-0.5254 -1.6091 4.1093
0.7845 -5.3068 4.7516
-2.9617 -0.4797 3.2787
-6.5243 -1.9187 2.2597
0.7197 -3.5778 2.5363
-0.4607 -3.3380 6.3246
-2.9077 -3.2879 -0.6979
-1.5978 -6.9856 -0.0557
```

- E_form (uncorrected): -1.18 eV per atom
- Final energy: -2.909 eV/atom
- Total moment: 0.00 μB/f.u.


8.
VASP calculation (PBE) on a relaxed structure of Ca2LaP.

```
Ca2LaP
1.0
3.6856 0.0000 0.0000
0.0000 3.6857 0.0000
0.0000 0.0000 9.6846
Ca La P
2 1 1
Cartesian
0.0000 0.0000 8.9179
1.8428 1.8428 2.3893
0.0000 0.0000 5.7182
1.8428 1.8428 7.1862
```

- Final energy: -4.154 eV/atom
- Total moment: 0.00 μB/f.u.
- E_form: -220 kJ/mol of formula units


9.
VASP calculation (PBE) on a relaxed structure of RbZrB.

```
RbZrB
1.0
3.6621 0.0014 -0.0005
-1.7769 12.4714 -0.0023
1.8285 0.0345 4.1576
B Rb Zr
2 2 2
Cartesian
0.9691 11.9703 1.4356
2.7446 0.5371 2.7192
2.8187 8.4889 1.0654
0.8950 4.0184 3.0894
2.7991 11.5542 3.2484
0.9146 0.9531 0.9065
```

- Final energy: -5.271 eV/atom
- Total moment: 0.28 μB/f.u.
- E_form: 37 kJ/mol of formula units


10.
VASP calculation (PBE) on a relaxed structure of SrTaHg.

```
SrTaHg
1.0
3.2909 0.0000 0.0000
-1.6454 2.8500 0.0000
0.0000 0.0000 7.9610
Hg Sr Ta
1 1 1
Cartesian
0.0000 0.0000 7.7976
1.6454 0.9500 2.6762
0.0000 1.9000 5.4482
```

- Final energy: -3.931 eV/atom
- Total moment: 0.49 μB/f.u.
- E_form: 197 kJ/mol of formula units


11.
VASP calculation (PBE) on a relaxed structure of AsPd2Pt.

```
AsPd2Pt
1.0
-0.8645 -5.8848 -3.9949
1.9000 -4.0691 5.5829
-1.9590 -5.1163 1.5353
As Pd Pt
2 4 2
Cartesian
0.5178 -4.9770 0.7940
0.2294 -7.0812 3.9562
-0.7617 -5.2556 -1.2724
0.5588 -4.7680 3.2312
-1.0131 -7.7153 1.9464
-0.6310 -12.4016 2.3417
0.0000 0.0000 0.0000
-1.1529 -7.9890 -0.8328
```

- Final energy: -5.420 eV/atom
- Total moment: 0.00 μB/f.u.
- E_form: -58 kJ/mol of formula units


12.
VASP calculation (PBE) on a relaxed structure of IrPt2Rh4.

```
IrPt2Rh4
1.0
-1.9043 1.4107 -4.8610
-0.5259 -5.1009 1.7178
-6.5226 3.8595 5.1867
Ir Pt Rh
2 4 8
Cartesian
-6.0503 0.7812 2.5895
-2.9025 -0.6119 -0.5460
-8.4709 -0.1830 3.2248
-0.4819 0.3523 -1.1813
-3.4054 0.6865 3.0240
-5.5474 -0.5172 -0.9805
-1.7214 -1.5023 -2.7705
-7.2314 1.6716 4.8140
-4.3106 1.3504 0.5956
-4.6422 -1.1810 1.4479
-7.0152 1.4901 0.1878
-5.7698 3.3060 1.7242
-1.9376 -1.3208 1.8557
-3.1830 -3.1366 0.3193
```

- Final energy: -6.995 eV/atom
- Total moment: 0.00 μB/f.u.
- E_form: 134 kJ/mol of formula units


13.
VASP calculation (PBE) on a relaxed structure of SrCa3Cd2.

```
SrCa3Cd2
1.0
-0.1876 4.8858 -1.5569
-7.5277 0.6653 2.9947
3.7958 2.9755 8.8803
Sr Ca Cd
2 6 4
Cartesian
-1.9140 4.5015 5.9012
1.2944 3.7334 3.1042
-0.0029 3.0799 9.6655
-7.0321 0.8528 3.5236
-4.2917 3.4143 2.7758
1.8912 4.9780 6.9381
-1.4787 1.1516 3.7921
-3.7876 2.6248 8.6934
-2.4255 5.5529 9.2623
-1.5242 2.9763 1.0679
0.5256 2.0323 6.3143
-4.2086 1.6042 5.5414
```

- Final energy: -1.826 eV/atom
- Total moment: 0.00 μB/f.u.
- E_form: -139 kJ/mol of formula units


14.
VASP calculation (PBE) on a relaxed structure of LiZn2PbAu4.

```
LiZn2PbAu4
1.0
4.4520 0.0000 0.0000
2.2260 3.8556 0.0000
2.2260 1.2852 8.7288
Li Zn Pb Au
1 2 1 4
Cartesian
4.4520 2.5704 4.3644
6.6781 3.8556 6.1671
2.2260 1.2852 2.5617
0.0000 0.0000 0.0000
4.4520 2.5704 7.0200
6.6781 3.8556 3.4350
2.2260 1.2852 5.2937
4.4520 2.5704 1.7087
```

- Final energy: -2.907 eV/atom
- Total moment: 0.00 μB/f.u.
- E_form: -191 kJ/mol of formula units


15.
VASP calculation (PBE) on a relaxed structure of SbPC.

```
SbPC
1.0
5.2344 0.0000 0.0000
0.0000 3.8404 0.0000
-0.6627 0.0000 15.2925
Sb C P
4 4 4
Cartesian
0.7080 0.0000 3.2127
3.8637 0.0000 12.0797
0.3767 1.9202 10.8590
4.1950 1.9202 4.4335
0.0000 1.2420 0.0000
0.0000 2.5983 0.0000
-0.3313 3.1622 7.6462
-0.3313 0.6782 7.6462
4.4312 0.0000 1.0889
0.1405 0.0000 14.2036
4.0998 1.9202 8.7351
0.4719 1.9202 6.5573
```

- E_form (uncorrected): 0.37 eV per atom
- Final energy: -5.883 eV/atom
- Total moment: 0.00 μB/f.u.


16.
VASP calculation (PBE) on a relaxed structure of SrAg2Br2.

```
SrAg2Br2
1.0
5.0045 0.0000 0.0000
0.0000 5.0045 0.0000
2.5023 2.5023 5.5991
Sr Br Ag
1 2 2
Cartesian
0.0000 0.0000 0.0000
5.0045 2.5023 2.7995
2.5023 5.0045 2.7995
2.5023 2.5023 1.2975
5.0045 5.0045 4.3016
```

- E_form (uncorrected): -0.65 eV per atom
- Final energy: -2.793 eV/atom
- Total moment: 0.00 μB/f.u.


17.
VASP calculation (PBE) on a relaxed structure of ZrBe2Pt.

```
ZrBe2Pt
1.0
2.9691 -0.0023 0.0000
0.0025 2.9691 0.0000
0.0000 0.0000 6.2238
Be Pt Zr
2 1 1
Cartesian
0.0000 0.0000 0.3481
0.0000 0.0000 2.7638
1.4858 1.4834 1.5560
1.4858 1.4834 4.6679
```

- Final energy: -5.931 eV/atom
- Total moment: 0.00 μB/f.u.
- E_form: -162 kJ/mol of formula units


18.
VASP calculation (PBE) on a relaxed structure of GeCBr2.

```
GeCBr2
1.0
6.1213 0.0000 0.0000
0.0000 6.1213 0.0000
3.0606 3.0606 5.6674
Ge C Br
2 2 4
Cartesian
0.0000 0.0000 0.0000
6.1213 3.0606 2.8337
3.0606 3.0606 0.0000
3.0606 6.1213 2.8337
3.8670 1.5303 1.4168
2.2543 4.5909 1.4168
4.5909 5.3149 4.2505
7.6516 6.9276 4.2505
```

- E_form (uncorrected): 1.56 eV per atom
- Final energy: -2.737 eV/atom
- Total moment: 0.00 μB/f.u.


19.
VASP calculation (PBE) on a relaxed structure of Li2ScPb4.

```
Li2ScPb4
1.0
5.7970 -0.0605 -2.0770
-2.9070 5.0455 -2.0038
-0.0349 0.0605 6.1578
Li Sc Pb
2 1 4
Cartesian
1.4450 2.4925 -2.0404
2.8811 0.0000 2.0404
0.0000 0.0000 0.0000
2.8985 -0.0303 -1.0385
1.4276 2.5228 1.0385
-0.0174 0.0303 3.0789
-1.4535 2.5228 -1.0019
```

- Final energy: -3.811 eV/atom
- Total moment: 0.00 μB/f.u.
- E_form: -163 kJ/mol of formula units


20.
VASP calculation (PBE) on a relaxed structure of Tb7NdCd2.

```
Tb7NdCd2
1.0
-1.8584 2.8246 -4.1857
-8.1523 -3.5272 1.2393
2.1785 7.6295 4.1813
Tb Nd Cd
7 1 2
Cartesian
-5.7616 -0.9454 1.9201
-0.2122 5.0476 3.5005
-0.7810 3.4911 -0.7558
-7.0512 3.4358 1.9908
-3.2496 0.8252 -1.4588
-4.5826 6.1016 2.6938
-3.9161 3.4634 0.6175
0.0000 0.0000 0.0000
-5.9457 1.2715 0.0395
-1.8865 5.6553 1.1955
```

- Final energy: -3.492 eV/atom
- Total moment: 1.81 μB/f.u.
- E_form: 394 kJ/mol of formula units


Density, record by record: 8.084; 4.061; 13.324; 13.559; 8.263; 6.945; 2.654; 3.156; 3.279; 10.434; 12.065; 14.827; 3.409; 12.555; 3.560; 5.485; 9.211; 3.823; 8.201; 6.524 g/cm3
D(E_F), record by record: 12.8; 0.0; 16.7; 3.5; 17.4; 2.1; 0.0; 3.3; 2.6; 4.1; 2.1; 10.6; 6.5; 1.9; 0.1; 0.0; 2.6; 3.3; 4.4; 21.5 states/eV/f.u.